(1)
LiPdRhF6 | PBE | relaxed

Summary:
Space-group type   P-31c, No. 163
ΔE_f (raw)   -1728 meV per atom
Calculated volume   223.5 Å³ per cell

Unit cell a=5.221 b=5.221 c=9.469 alpha=90.00 beta=90.00 gamma=120.00
Fractional positions:
Li: 0.333 0.667 0.250
Li: 0.667 0.333 0.750
Pd: 0.000 0.000 0.000
Pd: 0.000 0.000 0.500
Rh: 0.333 0.667 0.750
Rh: 0.667 0.333 0.250
F: 0.005 0.352 0.634
F: 0.005 0.653 0.866
F: 0.347 0.352 0.866
F: 0.347 0.995 0.634
F: 0.352 0.005 0.134
F: 0.352 0.347 0.366
F: 0.648 0.653 0.634
F: 0.648 0.995 0.866
F: 0.653 0.005 0.366
F: 0.653 0.648 0.134
F: 0.995 0.347 0.134
F: 0.995 0.648 0.366

=====

(2)
Li2PdRhF6 | PBE | relaxed

Summary:
Space-group type   P1, No. 1
ΔE_f (raw)   -1865 meV per atom
Calculated volume   125.8 Å³ per cell

Unit cell a=5.149 b=5.462 c=5.488 alpha=68.07 beta=63.55 gamma=89.53
Fractional positions:
Li: 0.000 0.000 0.000
Li: 0.455 0.467 0.021
Pd: 0.244 0.869 0.458
Rh: 0.747 0.380 0.456
F: 0.105 0.618 0.065
F: 0.384 0.192 0.866
F: 0.525 0.619 0.269
F: 0.683 0.144 0.262
F: 0.803 0.626 0.633
F: 0.987 0.144 0.625

=====

(3)
LiPdRuF6 | PBE | relaxed

Summary:
Space-group type   P-31c, No. 163
ΔE_f (raw)   -1752 meV per atom
Calculated volume   232.3 Å³ per cell

Unit cell a=5.275 b=5.275 c=9.638 alpha=90.00 beta=90.00 gamma=120.00
Fractional positions:
Li: 0.333 0.667 0.250
Li: 0.667 0.333 0.750
Pd: 0.000 0.000 0.000
Pd: 0.000 0.000 0.500
Ru: 0.333 0.667 0.750
Ru: 0.667 0.333 0.250
F: 0.010 0.360 0.636
F: 0.010 0.650 0.864
F: 0.350 0.360 0.864
F: 0.350 0.990 0.636
F: 0.360 0.010 0.136
F: 0.360 0.350 0.364
F: 0.640 0.650 0.636
F: 0.640 0.990 0.864
F: 0.650 0.010 0.364
F: 0.650 0.640 0.136
F: 0.990 0.350 0.136
F: 0.990 0.640 0.364

=====

(4)
LiSnPdF6 | PBE | relaxed

Summary:
Space-group type   P-31c, No. 163
ΔE_f (raw)   -2111 meV per atom
Calculated volume   258.9 Å³ per cell

Unit cell a=5.429 b=5.429 c=10.144 alpha=90.00 beta=90.00 gamma=120.00
Fractional positions:
Li: 0.333 0.667 0.250
Li: 0.667 0.333 0.750
Sn: 0.333 0.667 0.750
Sn: 0.667 0.333 0.250
Pd: 0.000 0.000 0.000
Pd: 0.000 0.000 0.500
F: 0.009 0.369 0.642
F: 0.009 0.640 0.858
F: 0.360 0.369 0.858
F: 0.360 0.991 0.642
F: 0.369 0.009 0.142
F: 0.369 0.360 0.358
F: 0.631 0.640 0.642
F: 0.631 0.991 0.858
F: 0.640 0.009 0.358
F: 0.640 0.631 0.142
F: 0.991 0.360 0.142
F: 0.991 0.631 0.358

=====

(5)
Li2SnPdF8 | PBE | relaxed

Summary:
Space-group type   P-1, No. 2
ΔE_f (raw)   -2288 meV per atom
Calculated volume   160.4 Å³ per cell

Unit cell a=4.886 b=4.907 c=6.761 alpha=85.78 beta=85.59 gamma=84.18
Fractional positions:
Li: 0.011 0.015 0.263
Li: 0.989 0.985 0.737
Sn: 0.500 0.500 0.000
Pd: 0.500 0.500 0.500
F: 0.201 0.807 0.498
F: 0.209 0.813 0.996
F: 0.265 0.293 0.194
F: 0.330 0.340 0.768
F: 0.670 0.660 0.232
F: 0.735 0.707 0.806
F: 0.791 0.187 0.004
F: 0.799 0.193 0.502

=====

(6)
SrLi2PdF8 | PBE | relaxed

Summary:
Space-group type   P-1, No. 2
ΔE_f (raw)   -2466 meV per atom
Calculated volume   164.6 Å³ per cell

Unit cell a=4.637 b=5.112 c=7.097 alpha=80.82 beta=84.35 gamma=83.99
Fractional positions:
Sr: 0.000 0.000 0.000
Li: 0.460 0.450 0.215
Li: 0.540 0.550 0.785
Pd: 0.000 0.000 0.500
F: 0.165 0.768 0.719
F: 0.195 0.788 0.309
F: 0.304 0.241 0.464
F: 0.382 0.286 0.994
F: 0.618 0.714 0.006
F: 0.696 0.759 0.536
F: 0.805 0.212 0.691
F: 0.835 0.232 0.281

=====

(7)
SrLiPd2F8 | PBE | relaxed

Summary:
Space-group type   I-4, No. 82
ΔE_f (raw)   -1999 meV per atom
Calculated volume   159.2 Å³ per cell

Unit cell a=6.617 b=6.617 c=6.617 alpha=131.48 beta=131.48 gamma=71.05
Fractional positions:
Sr: 0.000 0.000 0.000
Li: 0.250 0.750 0.500
Pd: 0.500 0.500 0.000
Pd: 0.750 0.250 0.500
F: 0.119 0.589 0.956
F: 0.142 0.112 0.523
F: 0.381 0.858 0.970
F: 0.411 0.367 0.530
F: 0.589 0.619 0.477
F: 0.633 0.163 0.044
F: 0.837 0.881 0.470
F: 0.888 0.411 0.030

=====

(8)
LiTiPdF6 | PBE | relaxed

Summary:
Space-group type   P-31c, No. 163
ΔE_f (raw)   -2626 meV per atom
Calculated volume   238.7 Å³ per cell

Unit cell a=5.267 b=5.267 c=9.935 alpha=90.00 beta=90.00 gamma=120.00
Fractional positions:
Li: 0.333 0.667 0.250
Li: 0.667 0.333 0.750
Ti: 0.333 0.667 0.750
Ti: 0.667 0.333 0.250
Pd: 0.000 0.000 0.000
Pd: 0.000 0.000 0.500
F: 0.022 0.379 0.643
F: 0.022 0.643 0.857
F: 0.357 0.379 0.857
F: 0.357 0.978 0.643
F: 0.379 0.022 0.143
F: 0.379 0.357 0.357
F: 0.621 0.643 0.643
F: 0.621 0.978 0.857
F: 0.643 0.022 0.357
F: 0.643 0.621 0.143
F: 0.978 0.357 0.143
F: 0.978 0.621 0.357